Record 1
The following is a PBE-GGA calculation of ScInRe2 after structural relaxation, from the Alexandria database.

Values from the calculation:
Its formation energy is 40.6 kJ/mol of atoms. For the density of states at the Fermi level, the calculation gives 5.11 states/eV/cell. The electronic total energy is -8.0712 eV/atom.

Structure (CIF):
```
data_ScInRe2
_cell_length_a 5.108
_cell_length_b 5.108
_cell_length_c 2.925
_cell_angle_alpha 90.00
_cell_angle_beta 90.00
_cell_angle_gamma 113.59
_space_group_name_H-M_alt 'P 1'
_space_group_IT_number 1
_space_group_name_Hall 'P 1'
loop_
_atom_site_label
_atom_site_type_symbol
_atom_site_fract_x
_atom_site_fract_y
_atom_site_fract_z
In1 In 0.000 0.500 0.500
Sc1 Sc 0.500 0.000 0.500
Re1 Re 0.000 0.000 0.000
Re2 Re 0.500 0.500 0.000
```

=====

Record 2
The following is a PBE-GGA calculation of ScIn2Re after structural relaxation, from the Alexandria database.

Values from the calculation:
Its formation energy is 13.8 kJ/mol of atoms. The relative energy among the computed polymorphs comes out at 72 meV/atom. For the density of states at the Fermi level, the calculation gives 2.78 states/eV/cell. The electronic total energy is -5.9209 eV/atom.

Structure (CIF):
```
data_ScIn2Re
_cell_length_a 5.535
_cell_length_b 5.535
_cell_length_c 5.535
_cell_angle_alpha 142.11
_cell_angle_beta 130.09
_cell_angle_gamma 64.33
_space_group_name_H-M_alt 'P 1'
_space_group_IT_number 1
_space_group_name_Hall 'P 1'
loop_
_atom_site_label
_atom_site_type_symbol
_atom_site_fract_x
_atom_site_fract_y
_atom_site_fract_z
In1 In 0.000 0.000 0.000
In2 In 0.737 0.237 0.500
Sc1 Sc 0.270 0.770 0.500
Re1 Re 0.493 0.493 0.000
```

=====

Record 3
The following is a PBE-GGA calculation of ScIn2Re after structural relaxation, from the Alexandria database.

Values from the calculation:
Its formation energy is 22.6 kJ/mol of atoms. The relative energy among the computed polymorphs comes out at 163 meV/atom. For the density of states at the Fermi level, the calculation gives 2.88 states/eV/cell. The electronic total energy is -5.8302 eV/atom.

Structure (CIF):
```
data_ScIn2Re
_cell_length_a 3.190
_cell_length_b 3.190
_cell_length_c 7.814
_cell_angle_alpha 90.00
_cell_angle_beta 90.00
_cell_angle_gamma 90.00
_space_group_name_H-M_alt 'P 1'
_space_group_IT_number 1
_space_group_name_Hall 'P 1'
loop_
_atom_site_label
_atom_site_type_symbol
_atom_site_fract_x
_atom_site_fract_y
_atom_site_fract_z
In1 In 0.000 0.000 0.028
In2 In 0.000 0.000 0.472
Sc1 Sc 0.500 0.500 0.750
Re1 Re 0.500 0.500 0.250
```

=====

Record 4
The following is a PBE-GGA calculation of ScInReTc2 after structural relaxation, from the Alexandria database.

Values from the calculation:
Its formation energy is 224.9 kJ/mol of atoms. For the density of states at the Fermi level, the calculation gives 10.41 states/eV/cell. The electronic total energy is -6.1192 eV/atom.

Structure (CIF):
```
data_ScInReTc2
_cell_length_a 4.758
_cell_length_b 4.865
_cell_length_c 4.758
_cell_angle_alpha 90.00
_cell_angle_beta 90.00
_cell_angle_gamma 90.00
_space_group_name_H-M_alt 'P 1'
_space_group_IT_number 1
_space_group_name_Hall 'P 1'
loop_
_atom_site_label
_atom_site_type_symbol
_atom_site_fract_x
_atom_site_fract_y
_atom_site_fract_z
Sc1 Sc 0.000 0.500 0.000
Re1 Re 0.500 0.500 0.500
Tc1 Tc 0.000 0.000 0.500
Tc2 Tc 0.500 0.000 0.000
In1 In 0.000 0.000 0.000
```

=====

Record 5
The following is a PBE-GGA calculation of In2ReSe after structural relaxation, from the Alexandria database.

Values from the calculation:
For the density of states at the Fermi level, the calculation gives 2.25 states/eV/cell. The calculation puts the formation energy from raw total energies at 0.2406 eV per atom. The electronic total energy is -5.1118 eV/atom.

Structure (CIF):
```
data_In2ReSe
_cell_length_a 6.817
_cell_length_b 6.817
_cell_length_c 6.817
_cell_angle_alpha 153.80
_cell_angle_beta 139.78
_cell_angle_gamma 48.64
_space_group_name_H-M_alt 'P 1'
_space_group_IT_number 1
_space_group_name_Hall 'P 1'
loop_
_atom_site_label
_atom_site_type_symbol
_atom_site_fract_x
_atom_site_fract_y
_atom_site_fract_z
Re1 Re 0.517 0.517 0.000
In1 In 0.996 0.996 0.000
In2 In 0.313 0.813 0.500
Se1 Se 0.674 0.174 0.500
```

=====

Record 6
The following is a PBE-GGA calculation of InRe2Se after structural relaxation, from the Alexandria database.

Values from the calculation:
The relative energy among the computed polymorphs comes out at 504 meV/atom. For the density of states at the Fermi level, the calculation gives 3.06 states/eV/cell. The calculation puts the formation energy from raw total energies at 0.7490 eV per atom. The electronic total energy is -7.0308 eV/atom.

Structure (CIF):
```
data_InRe2Se
_cell_length_a 4.504
_cell_length_b 4.031
_cell_length_c 4.423
_cell_angle_alpha 91.93
_cell_angle_beta 90.00
_cell_angle_gamma 90.00
_space_group_name_H-M_alt 'P 1'
_space_group_IT_number 1
_space_group_name_Hall 'P 1'
loop_
_atom_site_label
_atom_site_type_symbol
_atom_site_fract_x
_atom_site_fract_y
_atom_site_fract_z
Se1 Se 0.500 0.250 0.250
Re1 Re 0.000 0.416 0.545
Re2 Re 0.000 0.084 0.955
In1 In 0.500 0.750 0.750
```

=====

Record 7
The following is a PBE-GGA calculation of In2ReSe after structural relaxation, from the Alexandria database.

Values from the calculation:
For the density of states at the Fermi level, the calculation gives 2.19 states/eV/cell. The calculation puts the formation energy from raw total energies at 0.1957 eV per atom. The electronic total energy is -5.1567 eV/atom.

Structure (CIF):
```
data_In2ReSe
_cell_length_a 3.121
_cell_length_b 3.121
_cell_length_c 8.979
_cell_angle_alpha 90.00
_cell_angle_beta 90.00
_cell_angle_gamma 90.00
_space_group_name_H-M_alt 'P 1'
_space_group_IT_number 1
_space_group_name_Hall 'P 1'
loop_
_atom_site_label
_atom_site_type_symbol
_atom_site_fract_x
_atom_site_fract_y
_atom_site_fract_z
In1 In 0.500 0.500 0.297
Se1 Se 0.500 0.500 0.668
Re1 Re 0.000 0.000 0.524
In2 In 0.000 0.000 0.010
```

=====

Record 8
The following is a PBE-GGA calculation of InRe2Se after structural relaxation, from the Alexandria database.

Values from the calculation:
The relative energy among the computed polymorphs comes out at 52 meV/atom. For the density of states at the Fermi level, the calculation gives 2.24 states/eV/cell. The calculation puts the formation energy from raw total energies at 0.2970 eV per atom. The electronic total energy is -7.4828 eV/atom.

Structure (CIF):
```
data_InRe2Se
_cell_length_a 10.270
_cell_length_b 10.270
_cell_length_c 10.270
_cell_angle_alpha 16.59
_cell_angle_beta 16.59
_cell_angle_gamma 16.59
_space_group_name_H-M_alt 'P 1'
_space_group_IT_number 1
_space_group_name_Hall 'P 1'
loop_
_atom_site_label
_atom_site_type_symbol
_atom_site_fract_x
_atom_site_fract_y
_atom_site_fract_z
Se1 Se 0.524 0.524 0.524
Re1 Re 0.989 0.989 0.989
In1 In 0.735 0.735 0.735
Re2 Re 0.252 0.252 0.252
```

=====

Record 9
The following is a PBE-GGA calculation of InRe3Se after structural relaxation, from the Alexandria database.

Values from the calculation:
The relative energy among the computed polymorphs comes out at 1586 meV/atom. For the density of states at the Fermi level, the calculation gives 7.73 states/eV/cell. The calculation puts the formation energy from raw total energies at 3.1738 eV per atom. The electronic total energy is -5.5396 eV/atom.

Structure (CIF):
```
data_InRe3Se
_cell_length_a 4.875
_cell_length_b 4.875
_cell_length_c 4.875
_cell_angle_alpha 90.00
_cell_angle_beta 90.00
_cell_angle_gamma 90.00
_space_group_name_H-M_alt 'P 1'
_space_group_IT_number 1
_space_group_name_Hall 'P 1'
loop_
_atom_site_label
_atom_site_type_symbol
_atom_site_fract_x
_atom_site_fract_y
_atom_site_fract_z
Se1 Se 0.500 0.500 0.500
Re1 Re 0.500 0.000 0.000
In1 In 0.000 0.000 0.000
Re2 Re 0.000 0.000 0.500
Re3 Re 0.000 0.500 0.000
```

=====

Record 10
The following is a PBE-GGA calculation of InReSe after structural relaxation, from the Alexandria database.

Values from the calculation:
The relative energy among the computed polymorphs comes out at 16 meV/atom. For the density of states at the Fermi level, the calculation gives 1.75 states/eV/cell. The calculation puts the formation energy from raw total energies at 0.2702 eV per atom. The electronic total energy is -5.9534 eV/atom.

Structure (CIF):
```
data_InReSe
_cell_length_a 6.890
_cell_length_b 6.890
_cell_length_c 6.890
_cell_angle_alpha 154.31
_cell_angle_beta 154.31
_cell_angle_gamma 36.64
_space_group_name_H-M_alt 'P 1'
_space_group_IT_number 1
_space_group_name_Hall 'P 1'
loop_
_atom_site_label
_atom_site_type_symbol
_atom_site_fract_x
_atom_site_fract_y
_atom_site_fract_z
Re1 Re 0.313 0.313 0.000
Se1 Se 0.712 0.712 0.000
In1 In 0.976 0.976 0.000
```

=====

Record 11
The following is a PBE-GGA calculation of InReSe2 after structural relaxation, from the Alexandria database.

Values from the calculation:
For the density of states at the Fermi level, the calculation gives 3.22 states/eV/cell. The calculation puts the formation energy from raw total energies at 0.9535 eV per atom. The electronic total energy is -4.5854 eV/atom.

Structure (CIF):
```
data_InReSe2
_cell_length_a 4.755
_cell_length_b 4.755
_cell_length_c 4.755
_cell_angle_alpha 60.00
_cell_angle_beta 60.00
_cell_angle_gamma 60.00
_space_group_name_H-M_alt 'P 1'
_space_group_IT_number 1
_space_group_name_Hall 'P 1'
loop_
_atom_site_label
_atom_site_type_symbol
_atom_site_fract_x
_atom_site_fract_y
_atom_site_fract_z
Se1 Se 0.250 0.250 0.250
Re1 Re 0.750 0.750 0.750
In1 In 0.500 0.500 0.500
Se2 Se 0.000 0.000 0.000
```

=====

Record 12
The following is a PBE-GGA calculation of InReSe2 after structural relaxation, from the Alexandria database.

Values from the calculation:
For the density of states at the Fermi level, the calculation gives 4.77 states/eV/cell. The calculation puts the formation energy from raw total energies at 0.6992 eV per atom. The electronic total energy is -4.8397 eV/atom.

Structure (CIF):
```
data_InReSe2
_cell_length_a 4.797
_cell_length_b 4.797
_cell_length_c 3.217
_cell_angle_alpha 90.00
_cell_angle_beta 90.00
_cell_angle_gamma 91.94
_space_group_name_H-M_alt 'P 1'
_space_group_IT_number 1
_space_group_name_Hall 'P 1'
loop_
_atom_site_label
_atom_site_type_symbol
_atom_site_fract_x
_atom_site_fract_y
_atom_site_fract_z
Re1 Re 0.000 0.500 0.500
In1 In 0.500 0.000 0.500
Se1 Se 0.500 0.500 0.000
Se2 Se 0.000 0.000 0.000
```

=====

Record 13
The following is a PBE-GGA calculation of InRe2Se after structural relaxation, from the Alexandria database.

Values from the calculation:
The relative energy among the computed polymorphs comes out at 665 meV/atom. For the density of states at the Fermi level, the calculation gives 4.55 states/eV/cell. The calculation puts the formation energy from raw total energies at 0.9099 eV per atom. The electronic total energy is -6.8699 eV/atom.

Structure (CIF):
```
data_InRe2Se
_cell_length_a 4.530
_cell_length_b 4.530
_cell_length_c 4.530
_cell_angle_alpha 60.00
_cell_angle_beta 60.00
_cell_angle_gamma 60.00
_space_group_name_H-M_alt 'P 1'
_space_group_IT_number 1
_space_group_name_Hall 'P 1'
loop_
_atom_site_label
_atom_site_type_symbol
_atom_site_fract_x
_atom_site_fract_y
_atom_site_fract_z
Re1 Re 0.750 0.750 0.750
Se1 Se 0.000 0.000 0.000
In1 In 0.500 0.500 0.500
Re2 Re 0.250 0.250 0.250
```

=====

Record 14
The following is a PBE-GGA calculation of InReSe2 after structural relaxation, from the Alexandria database.

Values from the calculation:
For the density of states at the Fermi level, the calculation gives 3.71 states/eV/cell. The calculation puts the formation energy from raw total energies at 0.8510 eV per atom. The electronic total energy is -4.6879 eV/atom.

Structure (CIF):
```
data_InReSe2
_cell_length_a 3.297
_cell_length_b 5.274
_cell_length_c 4.476
_cell_angle_alpha 90.00
_cell_angle_beta 90.00
_cell_angle_gamma 90.00
_space_group_name_H-M_alt 'P 1'
_space_group_IT_number 1
_space_group_name_Hall 'P 1'
loop_
_atom_site_label
_atom_site_type_symbol
_atom_site_fract_x
_atom_site_fract_y
_atom_site_fract_z
In1 In 0.500 0.000 0.500
Se1 Se 0.000 0.000 0.000
Re1 Re 0.000 0.500 0.500
Se2 Se 0.500 0.500 0.000
```

=====

Record 15
The following is a PBE-GGA calculation of InRe2Se after structural relaxation, from the Alexandria database.

Values from the calculation:
The relative energy among the computed polymorphs comes out at 527 meV/atom. For the density of states at the Fermi level, the calculation gives 3.18 states/eV/cell. The calculation puts the formation energy from raw total energies at 0.7726 eV per atom. The electronic total energy is -7.0072 eV/atom.

Structure (CIF):
```
data_InRe2Se
_cell_length_a 5.415
_cell_length_b 5.415
_cell_length_c 5.415
_cell_angle_alpha 147.98
_cell_angle_beta 124.77
_cell_angle_gamma 65.28
_space_group_name_H-M_alt 'P 1'
_space_group_IT_number 1
_space_group_name_Hall 'P 1'
loop_
_atom_site_label
_atom_site_type_symbol
_atom_site_fract_x
_atom_site_fract_y
_atom_site_fract_z
Re1 Re 0.471 0.471 0.000
Re2 Re 0.029 0.029 0.000
Se1 Se 0.250 0.750 0.500
In1 In 0.750 0.250 0.500
```